{
  "formula": "TaMn2Mo",
  "functional": "PBE",
  "state": "relaxed",
  "formation_energy_ev_per_atom": -0.030,
  "polymorph_energy_ev_per_atom": 0.003,
  "volume_a3_per_cell": 55,
  "total_magnetization_mub_per_fu": 0.0,
  "lattice": [[0.000, 3.026, 3.026], [3.026, 0.000, 3.026], [3.026, 3.026, 0.000]],
  "species": ["Ta", "Mo", "Mn", "Mn"],
  "frac_coords": [[0.500, 0.500, 0.500], [0.000, 0.000, 0.000], [0.250, 0.250, 0.250], [0.750, 0.750, 0.750]]
}